No. 1
VASP calculation (PBE) on crystalline CdGaTcP2 at its relaxed geometry.

Computed properties:
**VASP energy**: -4.736 eV per atom
**Space group**: P4/mmm, No. 123
**Total magnetization**: 0.0 μB per formula unit
**Formation enthalpy at 0 K**: 1.45 eV/f.u.

a b c (Å): 4.552 4.552 5.374
angles (deg): 90.00 90.00 90.00
Fractional positions:
Cd (0.000, 0.000, 0.000)
Ga (0.500, 0.500, 0.000)
Tc (0.000, 0.000, 0.500)
P (0.000, 0.500, 0.500)
P (0.500, 0.000, 0.500)

No. 2
VASP calculation (PBE) on crystalline Y2MnCo3Ge4 at its relaxed geometry.

Computed properties:
**VASP energy**: -6.718 eV per atom
**Space group**: P-4m2, No. 115
**Total magnetization**: 3.0 μB per formula unit
**Formation enthalpy at 0 K**: -5.30 eV/f.u.

a b c (Å): 4.021 4.021 10.033
angles (deg): 90.00 90.00 90.00
Fractional positions:
Y (0.000, 0.500, 0.242)
Y (0.500, 0.000, 0.758)
Mn (0.000, 0.000, 0.500)
Co (0.000, 0.500, 0.875)
Co (0.500, 0.000, 0.125)
Co (0.500, 0.500, 0.500)
Ge (0.000, 0.000, 0.000)
Ge (0.000, 0.500, 0.641)
Ge (0.500, 0.000, 0.359)
Ge (0.500, 0.500, 0.000)

No. 3
VASP calculation (PBE) on crystalline Mg3Ge5O12 at its relaxed geometry.

Computed properties:
**VASP energy**: -6.144 eV per atom
**Space group**: Ia-3d, No. 230
**Total magnetization**: 0.0 μB per formula unit
**Uncorrected formation energy**: -1.78 eV/atom

a b c (Å): 10.553 10.553 10.553
angles (deg): 109.47 109.47 109.47
Fractional positions:
Mg (0.125, 0.250, 0.375)
Mg (0.125, 0.375, 0.750)
Mg (0.250, 0.375, 0.125)
Mg (0.250, 0.875, 0.625)
Mg (0.375, 0.125, 0.250)
Mg (0.375, 0.750, 0.125)
Mg (0.625, 0.250, 0.875)
Mg (0.625, 0.875, 0.750)
Mg (0.750, 0.125, 0.375)
Mg (0.750, 0.625, 0.875)
Mg (0.875, 0.625, 0.250)
Mg (0.875, 0.750, 0.625)
Ge (0.000, 0.000, 0.000)
Ge (0.000, 0.000, 0.500)
Ge (0.000, 0.500, 0.000)
Ge (0.000, 0.500, 0.500)
Ge (0.125, 0.750, 0.875)
Ge (0.125, 0.875, 0.250)
Ge (0.250, 0.125, 0.875)
Ge (0.250, 0.625, 0.375)
Ge (0.375, 0.250, 0.625)
Ge (0.375, 0.625, 0.750)
Ge (0.500, 0.000, 0.000)
Ge (0.500, 0.000, 0.500)
Ge (0.500, 0.500, 0.000)
Ge (0.500, 0.500, 0.500)
Ge (0.625, 0.375, 0.250)
Ge (0.625, 0.750, 0.375)
Ge (0.750, 0.375, 0.625)
Ge (0.750, 0.875, 0.125)
Ge (0.875, 0.125, 0.750)
Ge (0.875, 0.250, 0.125)
O (0.030, 0.213, 0.129)
O (0.030, 0.318, 0.902)
O (0.084, 0.713, 0.682)
O (0.084, 0.871, 0.402)
O (0.098, 0.629, 0.416)
O (0.098, 0.970, 0.682)
O (0.129, 0.030, 0.213)
O (0.129, 0.598, 0.916)
O (0.182, 0.213, 0.584)
O (0.182, 0.470, 0.598)
O (0.213, 0.129, 0.030)
O (0.213, 0.584, 0.182)
O (0.287, 0.318, 0.916)
O (0.287, 0.470, 0.371)
O (0.318, 0.902, 0.030)
O (0.318, 0.916, 0.287)
O (0.371, 0.287, 0.470)
O (0.371, 0.584, 0.902)
O (0.402, 0.084, 0.871)
O (0.402, 0.818, 0.530)
O (0.416, 0.098, 0.629)
O (0.416, 0.818, 0.787)
O (0.470, 0.371, 0.287)
O (0.470, 0.598, 0.182)
O (0.530, 0.402, 0.818)
O (0.530, 0.629, 0.713)
O (0.584, 0.182, 0.213)
O (0.584, 0.902, 0.371)
O (0.598, 0.182, 0.470)
O (0.598, 0.916, 0.129)
O (0.629, 0.416, 0.098)
O (0.629, 0.713, 0.530)
O (0.682, 0.084, 0.713)
O (0.682, 0.098, 0.970)
O (0.713, 0.530, 0.629)
O (0.713, 0.682, 0.084)
O (0.787, 0.416, 0.818)
O (0.787, 0.871, 0.970)
O (0.818, 0.530, 0.402)
O (0.818, 0.787, 0.416)
O (0.871, 0.402, 0.084)
O (0.871, 0.970, 0.787)
O (0.902, 0.030, 0.318)
O (0.902, 0.371, 0.584)
O (0.916, 0.129, 0.598)
O (0.916, 0.287, 0.318)
O (0.970, 0.682, 0.098)
O (0.970, 0.787, 0.871)